Record 1
Here is Zn8GaPt6 after structural relaxation from the Alexandria database. Energies are from PBE.

## Properties
spin magnetization = 0.00 μB per formula unit
SG = R-3
uncorrected energy = -3.741 eV/atom
energy of formation = -443 meV per atom

Unit cell a=6.7745 b=6.7745 c=6.7745 alpha=66.26 beta=66.26 gamma=66.26
Element x y z (fractional)
1 Zn 0.0400 0.3806 0.7178
2 Zn 0.1681 0.1681 0.1681
3 Zn 0.2822 0.9600 0.6194
4 Zn 0.3806 0.7178 0.0400
5 Zn 0.6194 0.2822 0.9600
6 Zn 0.7178 0.0400 0.3806
7 Zn 0.8319 0.8319 0.8319
8 Zn 0.9600 0.6194 0.2822
9 Ga 0.5000 0.5000 0.5000
10 Pt 0.1187 0.7795 0.4477
11 Pt 0.2205 0.5523 0.8813
12 Pt 0.4477 0.1187 0.7795
13 Pt 0.5523 0.8813 0.2205
14 Pt 0.7795 0.4477 0.1187
15 Pt 0.8813 0.2205 0.5523

Record 2
Here is Ti2CdAg after structural relaxation from the Alexandria database. Energies are from PBE.

## Properties
spin magnetization = 0.00 μB per formula unit
SG = I-42d
uncorrected energy = -4.441 eV/atom
energy of formation = 448 meV per atom

Unit cell a=7.6595 b=7.6595 c=5.2912 alpha=90.00 beta=90.00 gamma=90.00
Element x y z (fractional)
1 Ti 0.2359 0.2500 0.1250
2 Ti 0.2500 0.7359 0.3750
3 Ti 0.2500 0.7641 0.8750
4 Ti 0.2641 0.2500 0.6250
5 Ti 0.7359 0.7500 0.6250
6 Ti 0.7500 0.2359 0.8750
7 Ti 0.7500 0.2641 0.3750
8 Ti 0.7641 0.7500 0.1250
9 Cd 0.0000 0.0000 0.5000
10 Cd 0.0000 0.5000 0.7500
11 Cd 0.5000 0.0000 0.2500
12 Cd 0.5000 0.5000 0.0000
13 Ag 0.0000 0.0000 0.0000
14 Ag 0.0000 0.5000 0.2500
15 Ag 0.5000 0.0000 0.7500
16 Ag 0.5000 0.5000 0.5000

Record 3
Here is LaFeW2 after structural relaxation from the Alexandria database. Energies are from PBE.

## Properties
spin magnetization = 1.73 μB per formula unit
SG = Pm
energy above the lowest structure with this stoichiometry = 67 meV/atom
uncorrected energy = -9.257 eV/atom
energy of formation = 567 meV per atom

Unit cell a=2.8668 b=4.1378 c=6.6684 alpha=90.00 beta=99.99 gamma=90.00
Element x y z (fractional)
1 La 0.0000 0.0000 0.0000
2 Fe 0.2146 0.5000 0.6829
3 W 0.4904 0.0000 0.5199
4 W 0.7402 0.5000 0.3292

Record 4
Here is Dy4Ni2Bi after structural relaxation from the Alexandria database. Energies are from PBE.

## Properties
spin magnetization = 0.00 μB per formula unit
SG = Cc
uncorrected energy = -5.250 eV/atom
energy of formation = -414 meV per atom

Unit cell a=8.6190 b=8.6190 c=6.8243 alpha=107.81 beta=107.81 gamma=120.70
Element x y z (fractional)
1 Dy 0.0047 0.9953 0.5000
2 Dy 0.1429 0.7070 0.8522
3 Dy 0.4134 0.5798 0.1645
4 Dy 0.5645 0.9852 0.7268
5 Dy 0.5798 0.4134 0.6645
6 Dy 0.7070 0.1429 0.3522
7 Dy 0.9852 0.5645 0.2268
8 Dy 0.9953 0.0047 0.0000
9 Ni 0.2916 0.9593 0.3290
10 Ni 0.6298 0.7937 0.0000
11 Ni 0.7937 0.6298 0.5000
12 Ni 0.9593 0.2916 0.8290
13 Bi 0.2317 0.4549 0.5305
14 Bi 0.4549 0.2317 0.0305

Record 5
Here is Ac3La4TmTe8 after structural relaxation from the Alexandria database. Energies are from PBE.

## Properties
formation energy without anion corrections = -1.484 eV/atom
spin magnetization = 0.00 μB per formula unit
SG = R-3m
uncorrected energy = -5.337 eV/atom

Unit cell a=9.2148 b=9.2148 c=9.2148 alpha=60.11 beta=60.11 gamma=60.11
Element x y z (fractional)
1 Ac 0.0000 0.5000 0.5000
2 Ac 0.5000 0.0000 0.5000
3 Ac 0.5000 0.5000 0.0000
4 La 0.0000 0.0000 0.5000
5 La 0.0000 0.5000 0.0000
6 La 0.5000 0.0000 0.0000
7 La 0.5000 0.5000 0.5000
8 Tm 0.0000 0.0000 0.0000
9 Te 0.2348 0.7588 0.7588
10 Te 0.2412 0.2412 0.7652
11 Te 0.2412 0.7652 0.2412
12 Te 0.2467 0.2467 0.2467
13 Te 0.7533 0.7533 0.7533
14 Te 0.7588 0.2348 0.7588
15 Te 0.7588 0.7588 0.2348
16 Te 0.7652 0.2412 0.2412

Record 6
Here is LaNdDy2 after structural relaxation from the Alexandria database. Energies are from PBE.

## Properties
spin magnetization = 0.00 μB per formula unit
SG = Cmmm
energy above the lowest structure with this stoichiometry = 9 meV/atom
uncorrected energy = -4.703 eV/atom
energy of formation = 22 meV per atom

Unit cell a=7.3256 b=10.0622 c=3.6681 alpha=90.00 beta=90.00 gamma=90.00
Element x y z (fractional)
1 La 0.0000 0.0000 0.0000
2 La 0.5000 0.5000 0.0000
3 Nd 0.0000 0.5000 0.0000
4 Nd 0.5000 0.0000 0.0000
5 Dy 0.2500 0.2500 0.5000
6 Dy 0.2500 0.7500 0.5000
7 Dy 0.7500 0.2500 0.5000
8 Dy 0.7500 0.7500 0.5000

Record 7
Here is Ce6IrOsPb2 after structural relaxation from the Alexandria database. Energies are from PBE.

## Properties
spin magnetization = 5.28 μB per formula unit
SG = I4/mmm
uncorrected energy = -6.591 eV/atom
energy of formation = -280 meV per atom

Unit cell a=7.6681 b=7.6681 c=7.6681 alpha=119.98 beta=119.98 gamma=90.04
Element x y z (fractional)
1 Ce 0.2488 0.2488 0.0000
2 Ce 0.2488 0.2488 0.4977
3 Ce 0.2488 0.7512 0.0000
4 Ce 0.7512 0.2488 0.0000
5 Ce 0.7512 0.7512 0.0000
6 Ce 0.7512 0.7512 0.5023
7 Ir 0.5000 0.5000 0.0000
8 Os 0.0000 0.0000 0.0000
9 Pb 0.2500 0.7500 0.5000
10 Pb 0.7500 0.2500 0.5000

Record 8
Here is Y2SbAs after structural relaxation from the Alexandria database. Energies are from PBE.

## Properties
formation energy without anion corrections = -0.974 eV/atom
spin magnetization = 0.00 μB per formula unit
SG = C2/m
uncorrected energy = -6.399 eV/atom

Unit cell a=7.3696 b=7.8272 c=3.7206 alpha=90.00 beta=104.45 gamma=90.00
Element x y z (fractional)
1 Y 0.2500 0.2500 0.0000
2 Y 0.2500 0.7500 0.0000
3 Y 0.7500 0.2500 0.0000
4 Y 0.7500 0.7500 0.0000
5 Sb 0.0000 0.0000 0.5000
6 Sb 0.5000 0.5000 0.5000
7 As 0.0000 0.5000 0.5000
8 As 0.5000 0.0000 0.5000